# Dy4ScIn5

A relaxed Dy4ScIn5 crystal (PBE-GGA, the Alexandria database).

Cell and atoms, written as CIF:
```
data_Dy4ScIn5
_chemical_formula_sum 'Dy4 Sc1 In5'
_cell_length_a 3.6548
_cell_length_b 3.6548
_cell_length_c 19.2775
_cell_angle_alpha 90.00
_cell_angle_beta 90.00
_cell_angle_gamma 90.00
_space_group_name_H-M_alt 'P 4/m m m'
_space_group_IT_number 123
_space_group_name_Hall '-P 4 2'
loop_
_atom_site_label
_atom_site_type_symbol
_atom_site_fract_x
_atom_site_fract_y
_atom_site_fract_z
Dy1 Dy 0.0000 0.0000 0.1034
Dy2 Dy 0.0000 0.0000 0.3090
Sc1 Sc 0.0000 0.0000 0.5000
In1 In 0.5000 0.5000 0.0000
In2 In 0.5000 0.5000 0.2066
In3 In 0.5000 0.5000 0.4116
```

Calculated values
Formation energy from the elements, kcal/mol of atoms: -10.5

# Dy2YS4

A relaxed Dy2YS4 crystal (PBE-GGA, the Alexandria database).

Cell and atoms, written as CIF:
```
data_Dy2YS4
_chemical_formula_sum 'Dy8 Y4 S16'
_cell_length_a 7.8639
_cell_length_b 7.8660
_cell_length_c 10.9328
_cell_angle_alpha 90.00
_cell_angle_beta 90.00
_cell_angle_gamma 90.00
_space_group_name_H-M_alt 'I m m a'
_space_group_IT_number 74
_space_group_name_Hall '-I 2b 2'
loop_
_atom_site_label
_atom_site_type_symbol
_atom_site_fract_x
_atom_site_fract_y
_atom_site_fract_z
Dy1 Dy 0.0000 0.0000 0.0000
Dy2 Dy 0.2500 0.2500 0.2500
Y1 Y 0.0000 0.0000 0.5000
S1 S 0.0000 0.0088 0.2497
S2 S 0.2493 0.2500 0.9980
```

Calculated values
Uncorrected formation energy, meV per atom: -2074
Polymorph energy (0 for the lowest one), meV/atom: 0

# GaPdRu3

A relaxed GaPdRu3 crystal (PBE-GGA, the Alexandria database).

Cell and atoms, written as CIF:
```
data_GaPdRu3
_chemical_formula_sum 'Ga1 Pd1 Ru3'
_cell_length_a 4.7734
_cell_length_b 4.7734
_cell_length_c 4.7734
_cell_angle_alpha 90.00
_cell_angle_beta 90.00
_cell_angle_gamma 90.00
_space_group_name_H-M_alt 'P m -3 m'
_space_group_IT_number 221
_space_group_name_Hall '-P 4 2 3'
loop_
_atom_site_label
_atom_site_type_symbol
_atom_site_fract_x
_atom_site_fract_y
_atom_site_fract_z
Ga1 Ga 0.0000 0.0000 0.0000
Pd1 Pd 0.5000 0.5000 0.5000
Ru1 Ru 0.0000 0.5000 0.5000
```

Calculated values
Formation energy from the elements, kcal/mol of atoms: 43.3
Polymorph energy (0 for the lowest one), meV/atom: 459

Number 1: total energy -4.298 eV/atom. Number 2: total energy -6.671 eV/atom. Number 3: total energy -5.331 eV/atom.